Record 1
LaSe2 | PBE | relaxed

Geometry as POSCAR:
```
LaSe2
1.0
-5.042 -4.219 2.566
6.706 -0.579 12.226
0.199 4.391 0.099
La Se
4 8
Direct
0.750 0.863 0.750
0.250 0.137 0.250
0.750 0.363 0.250
0.250 0.637 0.750
0.750 0.219 0.750
0.250 0.781 0.250
0.750 0.719 0.250
0.250 0.281 0.750
0.000 0.500 0.000
0.500 0.500 0.500
0.000 0.000 0.500
0.500 0.000 0.000
```

## Properties
For the formation energy from raw total energies, the calculation gives -5.07 eV/f.u. As for the crystal system: monoclinic. As for the uncorrected energy: -5.66 eV per atom. The value obtained for the calculated volume is 28.28 Å³ per atom. The size of the total moment comes out at 0.00 μB per atom.



Record 2
LaSe2 | PBE | relaxed

Geometry as POSCAR:
```
LaSe2
1.0
-1.227 -3.754 -1.502
3.905 -1.507 0.578
-2.162 -2.513 8.049
La Se
2 4
Direct
0.000 0.500 0.776
0.500 0.000 0.224
0.000 0.500 0.135
0.500 0.000 0.865
0.000 0.000 0.500
0.500 0.500 0.500
```

## Properties
For the formation energy from raw total energies, the calculation gives -5.23 eV/f.u. As for the crystal system: tetragonal. As for the uncorrected energy: -5.71 eV per atom. The value obtained for the calculated volume is 25.90 Å³ per atom. The size of the total moment comes out at 0.00 μB per atom.



Q: Among the records above, which one has the highest calculated volume?
A: number 1